# 1
# Er3TeRu

An optimized crystal structure of Er3TeRu (PBE, Alexandria via LeMat-Bulk).

Summary:
**DOS(E_F)**: 4.20 states/eV/f.u.
**Uncorrected energy**: -5.8770 eV/atom
**Volume**: 26.7 Å³ per atom
**Total magnetization**: 0.000 μB/atom

Unit cell a=3.9815 b=7.1424 c=9.9220 alpha=99.07 beta=90.00 gamma=106.18
With the nearest neighbours (Å) after each atom.
Atoms (fractional coordinates):
Er 0.0338 0.0676 0.3593  4 Ru 2.90-2.96, 1 Te 3.06, 1 Er 3.08
Er 0.9662 0.9324 0.6407  4 Ru 2.90-2.96, 1 Te 3.06, 1 Er 3.08
Er 0.3643 0.7286 0.1296  1 Ru 2.91, 3 Te 3.08-3.09
Er 0.6357 0.2714 0.8704  1 Ru 2.91, 3 Te 3.08-3.09
Er 0.2446 0.4892 0.6451  2 Ru 2.78
Er 0.7554 0.5108 0.3549  2 Ru 2.78
Te 0.8619 0.7239 0.8912  6 Er 3.06-3.35
Te 0.1381 0.2761 0.1088  6 Er 3.06-3.35
Ru 0.6045 0.2091 0.5736  7 Er 2.78-2.96, 1 Ru 3.00
Ru 0.3955 0.7909 0.4264  7 Er 2.78-2.96, 1 Ru 3.00



# 2
# CrCdNi2

An optimized crystal structure of CrCdNi2 (PBE, Alexandria via LeMat-Bulk).

Summary:
**DOS(E_F)**: 4.30 states/eV/f.u.
**Calculated formation energy**: 0.2977 eV/atom
**Volume**: 13.7 Å³ per atom
**Total magnetization**: 0.391 μB/atom

Unit cell a=4.3316 b=4.3316 c=5.0747 alpha=82.08 beta=82.08 gamma=35.68
With the nearest neighbours (Å) after each atom.
Atoms (fractional coordinates):
Cd 0.7500 0.7500 0.7500  2 Cd 2.65, 6 Ni 2.68-2.75, 4 Cr 2.86
Cr 0.2500 0.2500 0.2500  6 Ni 2.49-2.50, 2 Cr 2.65
Ni 0.9935 0.9935 0.0464  4 Ni 2.47-2.65, 3 Cr 2.49-2.50, 3 Cd 2.68-2.75
Ni 0.5065 0.5065 0.4536  4 Ni 2.47-2.65, 3 Cr 2.49-2.50, 3 Cd 2.68-2.75



# 3
# BePb2I6

An optimized crystal structure of BePb2I6 (PBE, Alexandria via LeMat-Bulk).

Summary:
**DOS(E_F)**: 0.00 states/eV/f.u.
**Uncorrected energy**: -2.7603 eV/atom
**Volume**: 48.2 Å³ per atom
**Total magnetization**: 0.000 μB/atom

Unit cell a=4.5985 b=7.9741 c=12.5822 alpha=83.59 beta=79.47 gamma=73.24
With the nearest neighbours (Å) after each atom.
Atoms (fractional coordinates):
Be 0.0000 0.0000 0.0000  2 I 2.19
Pb 0.3485 0.9679 0.3352  5 I 3.06-3.39
Pb 0.6515 0.0321 0.6648  5 I 3.06-3.39
I 0.8359 0.2332 0.0950  1 Be 2.19
I 0.1641 0.7668 0.9050  1 Be 2.19
I 0.3376 0.7674 0.5574  3 Pb 3.06-3.39
I 0.0122 0.7212 0.2544  2 Pb 3.17
I 0.9878 0.2788 0.7456  2 Pb 3.17
I 0.6624 0.2326 0.4426  3 Pb 3.06-3.39



# 4
# ScCoPBr2

An optimized crystal structure of ScCoPBr2 (PBE, Alexandria via LeMat-Bulk).

Summary:
**DOS(E_F)**: 4.81 states/eV/f.u.
**Uncorrected energy**: -4.4380 eV/atom
**Volume**: 20.8 Å³ per atom
**Total magnetization**: 0.000 μB/atom

Unit cell a=4.8373 b=4.4372 c=4.8373 alpha=90.00 beta=90.00 gamma=90.00
With the nearest neighbours (Å) after each atom.
Atoms (fractional coordinates):
Sc 0.5000 0.5000 0.5000  8 Br 3.28, 4 P 3.42
P 0.0000 0.5000 0.0000  2 Co 2.22
Co 0.0000 0.0000 0.0000  2 P 2.22, 4 Br 2.42
Br 0.0000 0.0000 0.5000  2 Co 2.42
Br 0.5000 0.0000 0.0000  2 Co 2.42



The highest total magnetization belongs to which entry?
CrCdNi2



What is the total magnetization in the second record?
0.391 μB/atom